# BaY2Au, single point on PBEsol structure, DFT meta-GGA SCAN
data_BaY2Au
_cell_length_a 4.7585
_cell_length_b 4.7585
_cell_length_c 5.0745
_cell_angle_alpha 90.00
_cell_angle_beta 90.00
_cell_angle_gamma 90.00
_symmetry_space_group_name_H-M 'P 1'
_symmetry_Int_Tables_number 1
loop_
_symmetry_equiv_pos_as_xyz
'x,y,z'
loop_
_atom_site_label
_atom_site_type_symbol
_atom_site_fract_x
_atom_site_fract_y
_atom_site_fract_z
_atom_site_occupancy
Au1 Au 0.5000 0.5000 0.5000 1
Ba1 Ba 0.0000 0.0000 0.5000 1
Y1 Y 0.0000 0.5000 0.0000 1
Y2 Y 0.5000 0.0000 0.0000 1
# Energy relative to the elements   -78.5 meV per atom

# LaAs2, single point on PBEsol structure, DFT meta-GGA SCAN
data_LaAs2
_cell_length_a 8.9894
_cell_length_b 9.5936
_cell_length_c 9.0296
_cell_angle_alpha 118.05
_cell_angle_beta 90.04
_cell_angle_gamma 117.91
_symmetry_space_group_name_H-M 'P 1'
_symmetry_Int_Tables_number 1
loop_
_symmetry_equiv_pos_as_xyz
'x,y,z'
loop_
_atom_site_label
_atom_site_type_symbol
_atom_site_fract_x
_atom_site_fract_y
_atom_site_fract_z
_atom_site_occupancy
La1 La 0.4845 0.6028 0.7014 1
La2 La 0.3817 0.3972 0.0986 1
La3 La 0.0674 0.5614 0.8864 1
La4 La 0.0060 0.4386 0.3250 1
La5 La 0.6112 0.0844 0.7298 1
La6 La 0.0268 0.9156 0.6453 1
La7 La 0.8265 0.9166 0.2510 1
La8 La 0.4099 0.0834 0.3345 1
As1 As 0.1350 0.2513 0.5993 1
As2 As 0.3837 0.7487 0.3480 1
As3 As 0.3897 0.2489 0.7147 1
As4 As 0.6408 0.7511 0.4658 1
As5 As 0.2008 0.2540 0.3332 1
As6 As 0.4468 0.7460 0.0791 1
As7 As 0.7556 0.4997 0.0442 1
As8 As 0.7559 0.5003 0.5445 1
As9 As 0.8699 0.7464 0.8741 1
As10 As 0.6235 0.2536 0.1277 1
As11 As 0.2095 0.9590 0.9610 1
As12 As 0.7506 0.0410 0.0021 1
As13 As 0.7989 0.2541 0.5233 1
As14 As 0.0449 0.7459 0.2692 1
As15 As 0.2576 0.7617 0.6892 1
As16 As 0.9959 0.2383 0.9275 1
# Energy relative to the elements   -1208.5 meV per atom

# AcEuMg2, single point on PBEsol structure, DFT meta-GGA SCAN
data_AcEuMg2
_cell_length_a 5.6752
_cell_length_b 5.6752
_cell_length_c 5.6752
_cell_angle_alpha 60.00
_cell_angle_beta 60.00
_cell_angle_gamma 60.00
_symmetry_space_group_name_H-M 'P 1'
_symmetry_Int_Tables_number 1
loop_
_symmetry_equiv_pos_as_xyz
'x,y,z'
loop_
_atom_site_label
_atom_site_type_symbol
_atom_site_fract_x
_atom_site_fract_y
_atom_site_fract_z
_atom_site_occupancy
Eu1 Eu 0.5000 0.5000 0.5000 1
Ac1 Ac 0.0000 0.0000 0.0000 1
Mg1 Mg 0.7500 0.7500 0.7500 1
Mg2 Mg 0.2500 0.2500 0.2500 1
# Energy relative to the elements   -91.5 meV per atom

# KSc2Os, single point on PBEsol structure, DFT meta-GGA SCAN
data_KSc2Os
_cell_length_a 3.2181
_cell_length_b 3.2181
_cell_length_c 9.9839
_cell_angle_alpha 90.00
_cell_angle_beta 90.00
_cell_angle_gamma 90.00
_symmetry_space_group_name_H-M 'P 1'
_symmetry_Int_Tables_number 1
loop_
_symmetry_equiv_pos_as_xyz
'x,y,z'
loop_
_atom_site_label
_atom_site_type_symbol
_atom_site_fract_x
_atom_site_fract_y
_atom_site_fract_z
_atom_site_occupancy
K1 K 0.5000 0.5000 0.0000 1
Os1 Os 0.5000 0.5000 0.5000 1
Sc1 Sc 0.0000 0.0000 0.6519 1
Sc2 Sc 0.0000 0.0000 0.3481 1
# Energy relative to the elements   -185.4 meV per atom

# CuSiRh2, single point on PBEsol structure, DFT meta-GGA SCAN
data_CuSiRh2
_cell_length_a 2.7354
_cell_length_b 3.6028
_cell_length_c 5.1585
_cell_angle_alpha 90.00
_cell_angle_beta 90.00
_cell_angle_gamma 90.00
_symmetry_space_group_name_H-M 'P 1'
_symmetry_Int_Tables_number 1
loop_
_symmetry_equiv_pos_as_xyz
'x,y,z'
loop_
_atom_site_label
_atom_site_type_symbol
_atom_site_fract_x
_atom_site_fract_y
_atom_site_fract_z
_atom_site_occupancy
Cu1 Cu 0.5000 0.5000 0.7616 1
Rh1 Rh 0.0000 0.0000 0.9677 1
Rh2 Rh 0.5000 0.5000 0.2779 1
Si1 Si 0.0000 0.0000 0.4928 1
# E_form (uncorrected)   -27.7 kJ per mole of atoms

# MnO2, single point on PBEsol structure, DFT meta-GGA SCAN
data_MnO2
_cell_length_a 2.8400
_cell_length_b 7.0116
_cell_length_c 7.0116
_cell_angle_alpha 87.65
_cell_angle_beta 78.32
_cell_angle_gamma 78.32
_symmetry_space_group_name_H-M 'P 1'
_symmetry_Int_Tables_number 1
loop_
_symmetry_equiv_pos_as_xyz
'x,y,z'
loop_
_atom_site_label
_atom_site_type_symbol
_atom_site_fract_x
_atom_site_fract_y
_atom_site_fract_z
_atom_site_occupancy
Mn1 Mn 0.1678 0.4840 0.1805 1
Mn2 Mn 0.3483 0.8195 0.4840 1
Mn3 Mn 0.6517 0.1805 0.5160 1
Mn4 Mn 0.8322 0.5160 0.8195 1
O1 O 0.4579 0.3771 0.7070 1
O2 O 0.1649 0.2930 0.3771 1
O3 O 0.8351 0.7070 0.6229 1
O4 O 0.5421 0.6229 0.2930 1
O5 O 0.7968 0.3586 0.0479 1
O6 O 0.8447 0.9521 0.3586 1
O7 O 0.2032 0.6414 0.9521 1
O8 O 0.1553 0.0479 0.6414 1
# E_form (uncorrected)   -202.6 kJ per mole of atoms

# LaAgSCl2, single point on PBEsol structure, DFT meta-GGA SCAN
data_LaAgSCl2
_cell_length_a 4.8554
_cell_length_b 4.8554
_cell_length_c 4.9819
_cell_angle_alpha 90.00
_cell_angle_beta 90.00
_cell_angle_gamma 90.00
_symmetry_space_group_name_H-M 'P 1'
_symmetry_Int_Tables_number 1
loop_
_symmetry_equiv_pos_as_xyz
'x,y,z'
loop_
_atom_site_label
_atom_site_type_symbol
_atom_site_fract_x
_atom_site_fract_y
_atom_site_fract_z
_atom_site_occupancy
S1 S 0.0000 0.0000 0.5000 1
Cl1 Cl 0.0000 0.5000 0.0000 1
Cl2 Cl 0.5000 0.0000 0.0000 1
Ag1 Ag 0.0000 0.0000 0.0000 1
La1 La 0.5000 0.5000 0.5000 1
# E_form (uncorrected)   -109.3 kJ per mole of atoms

# LiY3Os, single point on PBEsol structure, DFT meta-GGA SCAN
data_LiY3Os
_cell_length_a 4.8327
_cell_length_b 4.8327
_cell_length_c 4.8327
_cell_angle_alpha 90.00
_cell_angle_beta 90.00
_cell_angle_gamma 90.00
_symmetry_space_group_name_H-M 'P 1'
_symmetry_Int_Tables_number 1
loop_
_symmetry_equiv_pos_as_xyz
'x,y,z'
loop_
_atom_site_label
_atom_site_type_symbol
_atom_site_fract_x
_atom_site_fract_y
_atom_site_fract_z
_atom_site_occupancy
Y1 Y 0.0000 0.5000 0.0000 1
Y2 Y 0.0000 0.0000 0.5000 1
Y3 Y 0.5000 0.0000 0.0000 1
Os1 Os 0.5000 0.5000 0.5000 1
Li1 Li 0.0000 0.0000 0.0000 1
# Energy relative to the elements   1026.9 meV per atom

# Li2CrIr, single point on PBEsol structure, DFT meta-GGA SCAN
data_Li2CrIr
_cell_length_a 4.1320
_cell_length_b 4.1320
_cell_length_c 4.1320
_cell_angle_alpha 60.00
_cell_angle_beta 60.00
_cell_angle_gamma 60.00
_symmetry_space_group_name_H-M 'P 1'
_symmetry_Int_Tables_number 1
loop_
_symmetry_equiv_pos_as_xyz
'x,y,z'
loop_
_atom_site_label
_atom_site_type_symbol
_atom_site_fract_x
_atom_site_fract_y
_atom_site_fract_z
_atom_site_occupancy
Cr1 Cr 0.0000 0.0000 0.0000 1
Ir1 Ir 0.5000 0.5000 0.5000 1
Li1 Li 0.2500 0.2500 0.2500 1
Li2 Li 0.7500 0.7500 0.7500 1
# Energy relative to the elements   105.9 meV per atom

# LiGaNi2Os, single point on PBEsol structure, DFT meta-GGA SCAN
data_LiGaNi2Os
_cell_length_a 4.3001
_cell_length_b 4.3001
_cell_length_c 4.5622
_cell_angle_alpha 90.00
_cell_angle_beta 90.00
_cell_angle_gamma 90.00
_symmetry_space_group_name_H-M 'P 1'
_symmetry_Int_Tables_number 1
loop_
_symmetry_equiv_pos_as_xyz
'x,y,z'
loop_
_atom_site_label
_atom_site_type_symbol
_atom_site_fract_x
_atom_site_fract_y
_atom_site_fract_z
_atom_site_occupancy
Ni1 Ni 0.0000 0.5000 0.0000 1
Ni2 Ni 0.5000 0.0000 0.0000 1
Os1 Os 0.0000 0.0000 0.5000 1
Ga1 Ga 0.0000 0.0000 0.0000 1
Li1 Li 0.5000 0.5000 0.5000 1
# Energy relative to the elements   1081.9 meV per atom

# KSr2Mg, single point on PBEsol structure, DFT meta-GGA SCAN
data_KSr2Mg
_cell_length_a 5.0402
_cell_length_b 6.0008
_cell_length_c 6.0008
_cell_angle_alpha 90.00
_cell_angle_beta 90.00
_cell_angle_gamma 90.00
_symmetry_space_group_name_H-M 'P 1'
_symmetry_Int_Tables_number 1
loop_
_symmetry_equiv_pos_as_xyz
'x,y,z'
loop_
_atom_site_label
_atom_site_type_symbol
_atom_site_fract_x
_atom_site_fract_y
_atom_site_fract_z
_atom_site_occupancy
K1 K 0.5000 0.5000 0.5000 1
Mg1 Mg 0.5000 0.0000 0.0000 1
Sr1 Sr 0.0000 0.0000 0.5000 1
Sr2 Sr 0.0000 0.5000 0.0000 1
# Energy relative to the elements   157.8 meV per atom

# Ru2W, single point on PBEsol structure, DFT meta-GGA SCAN
data_Ru2W
_cell_length_a 4.1733
_cell_length_b 5.2639
_cell_length_c 7.8335
_cell_angle_alpha 90.00
_cell_angle_beta 90.00
_cell_angle_gamma 90.00
_symmetry_space_group_name_H-M 'P 1'
_symmetry_Int_Tables_number 1
loop_
_symmetry_equiv_pos_as_xyz
'x,y,z'
loop_
_atom_site_label
_atom_site_type_symbol
_atom_site_fract_x
_atom_site_fract_y
_atom_site_fract_z
_atom_site_occupancy
Ru1 Ru 0.7500 0.9512 0.7817 1
Ru2 Ru 0.7500 0.8327 0.4366 1
Ru3 Ru 0.2500 0.6673 0.9366 1
Ru4 Ru 0.2500 0.5488 0.2817 1
Ru5 Ru 0.7500 0.4512 0.7183 1
Ru6 Ru 0.7500 0.3327 0.0634 1
Ru7 Ru 0.2500 0.1673 0.5634 1
Ru8 Ru 0.2500 0.0488 0.2183 1
W1 W 0.7500 0.8127 0.1063 1
W2 W 0.2500 0.6873 0.6063 1
W3 W 0.7500 0.3127 0.3937 1
W4 W 0.2500 0.1873 0.8937 1
# Energy relative to the elements   -27.4 meV per atom

| no. | calculated volume (A^3/atom) |
| --- | --- |
| 1 | 28.7 |
| 2 | 24.3 |
| 3 | 32.3 |
| 4 | 25.8 |
| 5 | 12.7 |
| 6 | 11.2 |
| 7 | 23.5 |
| 8 | 22.6 |
| 9 | 12.5 |
| 10 | 16.9 |
| 11 | 45.4 |
| 12 | 14.3 |